Entry 1:
## BaFeAu (PBEsol)

Data for a relaxed structure of BaFeAu.

Cell: 5.1415 5.1415 5.1415 Å, 60.00 60.00 60.00°
Last column: nearest neighbours and their distance in Å.
Fractional positions:
Ba  0.0000  0.0000  0.0000  4 Fe 3.15, 4 Au 3.15
Fe  0.7500  0.7500  0.7500  4 Ba 3.15
Au  0.2500  0.2500  0.2500  4 Ba 3.15

Properties
- E: -0.293 Ry/atom
- Total moment: 3.11 μB/cell

Entry 2:
## LiFe3Ag (PBEsol)

Data for a relaxed structure of LiFe3Ag.

Cell: 4.6973 4.6973 4.6973 Å, 90.00 90.00 90.00°
Last column: nearest neighbours and their distance in Å.
Fractional positions:
Li  0.0000  0.0000  0.0000  12 Fe 3.32
Fe  0.0000  0.5000  0.5000  2 Ag 2.35
Fe  0.5000  0.0000  0.5000  2 Ag 2.35
Fe  0.5000  0.5000  0.0000  2 Ag 2.35
Ag  0.5000  0.5000  0.5000  6 Fe 2.35

Properties
- E: -0.357 Ry/atom
- Total moment: 9.40 μB/cell